## ZrAsIr2 (PBE)

Data for a geometry-optimized ZrAsIr2 structure.

Results
The value obtained for the total magnetization is 0.00 μB per formula unit. The formation energy from the elements comes out at -495 meV/atom.

Cell lengths 5.011, 5.011, 5.011 Å; angles 136.60, 129.20, 68.98 degrees
Fractional positions:
1 As 0.250 0.750 0.500
2 Ir 0.021 0.021 0.000
3 Ir 0.479 0.479 0.000
4 Zr 0.750 0.250 0.500